Below is a geometry-optimized La4CoPI2 structure, with properties calculated at the PBE-GGA level.

a b c (Å): 7.6936 4.0925 8.3299
angles (deg): 90.00 106.89 90.00
Positions (direct):
La1 0.2037 0.0000 0.1788
La2 0.2686 0.5000 0.8020
La3 0.7314 0.5000 0.1980
La4 0.7963 0.0000 0.8212
Co1 0.0000 0.5000 0.0000
P1 0.5000 0.0000 0.0000
I1 0.0000 0.0000 0.5000
I2 0.5000 0.5000 0.5000

- Space group: P2/m (10)
- ΔE_f (raw): -23.55 kcal/mol of atoms
- DOS(E_F): 6.26 states/eV/cell